Below is a relaxed structure of Y3Zn2Hg4, with properties calculated at the GGA-PBE level.

Output
- size of the total moment (μB/cell) = 0.0
- uncorrected energy (eV per formula unit) = -26.96
- formation energy from the elements (eV per atom) = -0.423

Unit cell a=10.8511 b=4.7808 c=8.9387 alpha=90.00 beta=116.52 gamma=90.00
Last column: nearest neighbours and their distance in Å.
Space group C2/m (No. 12)
Inequivalent atoms, fractional coordinates:
Y  0.0000  0.0000  0.0000  8 Hg 3.18-3.40, 4 Zn 3.30, 2 Y 3.53
Y  0.1634  0.5000  0.6679  8 Hg 3.19-3.33, 4 Zn 3.20-3.30, 2 Y 3.48-3.53
Zn  0.1121  0.5000  0.2841  3 Hg 2.68-2.70
Hg  0.0682  0.0000  0.3919  2 Zn 2.70, 1 Hg 2.91
Hg  0.2103  0.5000  0.0574  1 Zn 2.68, 2 Hg 2.88

Below is a relaxed structure of YZnHg2, with properties calculated at the GGA-PBE level.

Output
- size of the total moment (μB/cell) = 0.0
- uncorrected energy (eV per formula unit) = -9.50
- formation energy from the elements (eV per atom) = -0.289

Unit cell a=4.4075 b=4.4445 c=4.6603 alpha=90.00 beta=90.00 gamma=90.00
Last column: nearest neighbours and their distance in Å.
Space group Pmmm (No. 47)
Inequivalent atoms, fractional coordinates:
Y  0.0000  0.0000  0.0000  8 Hg 3.13-3.21, 4 Zn 3.22
Zn  0.0000  0.5000  0.5000  8 Hg 3.13-3.21, 4 Y 3.22
Hg  0.5000  0.0000  0.5000  4 Zn 3.13, 4 Y 3.21, 4 Hg 3.22
Hg  0.5000  0.5000  0.0000  4 Y 3.13, 4 Zn 3.21, 4 Hg 3.22

Below is a relaxed structure of YZn2Hg2, with properties calculated at the GGA-PBE level.

Output
- size of the total moment (μB/cell) = 0.0
- uncorrected energy (eV per formula unit) = -10.67
- formation energy from the elements (eV per atom) = -0.211
- polymorph energy (0 for the lowest one) (eV/atom) = 0.0000

Unit cell a=4.3788 b=4.3788 c=11.1648 alpha=90.00 beta=90.00 gamma=90.00
Last column: nearest neighbours and their distance in Å.
Space group I4/mmm (No. 139)
Inequivalent atoms, fractional coordinates:
Y  0.0000  0.0000  0.0000  8 Zn 3.31, 8 Hg 3.55
Zn  0.0000  0.0000  0.3942  1 Zn 2.36
Hg  0.0000  0.5000  0.2500  4 Zn 2.72

Below is a relaxed structure of YZnHg4, with properties calculated at the GGA-PBE level.

Output
- size of the total moment (μB/cell) = 0.0
- uncorrected energy (eV per formula unit) = -8.67
- formation energy from the elements (eV per atom) = 0.046

Unit cell a=8.3998 b=8.3998 c=8.3998 alpha=90.00 beta=90.00 gamma=90.00
Last column: nearest neighbours and their distance in Å.
Space group F-43m (No. 216)
Inequivalent atoms, fractional coordinates:
Y  0.0000  0.0000  0.0000  12 Hg 3.48, 4 Zn 3.64
Zn  0.2500  0.2500  0.7500  12 Hg 3.48, 4 Y 3.64
Hg  0.1249  0.1249  0.3751  6 Hg 2.97